DFT (PBE) results for a relaxed AcInBi3 crystal.

The space group is Pbcm (No. 57) and the conventional cell measures 15.311, 6.598 and 6.775 Å, with angles of 90.00, 90.00 and 90.00 degrees. The inequivalent atoms are Ac at (0.178, 0.000, 0.250), In at (0.393, 0.250, 0.000), Bi at (0.001, 0.250, 0.000), Bi at (0.231, 0.504, 0.250) and Bi at (0.405, 0.731, 0.750).

The distance to the lowest polymorph of the same formula is 0 meV/atom.

***

DFT (PBE) results for a relaxed AcIn3Bi4 crystal.

The space group is P-1 (No. 2) and the conventional cell measures 6.450, 6.530 and 6.720 Å, with angles of 116.78, 91.75 and 94.47 degrees. The inequivalent atoms are Ac at (0.000, 0.000, 0.000), In at (0.000, 0.500, 0.500), In at (0.233, 0.573, 0.111), Bi at (0.244, 0.082, 0.540) and Bi at (0.464, 0.737, 0.789).

***

DFT (PBE) results for a relaxed AcInBi2 crystal.

The space group is Fm-3m (No. 225) and the conventional cell measures 8.160, 8.160 and 8.160 Å, with angles of 90.00, 90.00 and 90.00 degrees. The inequivalent atoms are Ac at (0.000, 0.000, 0.000), In at (0.000, 0.000, 0.500) and Bi at (0.250, 0.250, 0.250).

The distance to the lowest polymorph of the same formula is 187 meV/atom.

***

no.,energy of formation from the pure elements (eV/atom)
1,-0.38
2,-0.21
3,-0.32